Density functional theory data (PBE) for a relaxed Hg3Bi2H4 crystal.

Computed properties:
energy = -82.369 eV per cell
mass density = 6.21 g/cm³

a b c (Å): 9.3565 14.6680 7.9783
angles (deg): 90.00 90.00 90.00
Closest atoms and distances in Å follow each position.
Space group Cccm (No. 66)
One atom of each set of equivalent atoms:
Hg 0.0000 0.0000 0.2500 x4  4 H 3.55, 4 Bi 3.66
Hg 0.0000 0.3775 0.2500 x8  2 Bi 2.89, 2 H 3.12
Bi 0.2232 0.3871 0.0000 x8  1 H 1.84
H 0.1865 0.4899 0.5000 x8  1 Bi 1.84
H 0.2417 0.2249 0.5000 x8  1 H 0.75

Density functional theory data (PBE) for a relaxed HgBi3H crystal.

Computed properties:
energy = -9.909 eV per cell
mass density = 7.09 g/cm³
Fermi-level density of states = 4.7 states/eV/cell

a b c (Å): 5.7907 5.7907 5.7907
angles (deg): 90.00 90.00 90.00
Closest atoms and distances in Å follow each position.
Space group Pm-3m (No. 221)
One atom of each set of equivalent atoms:
Hg 0.0000 0.0000 0.0000 x1  6 Bi 2.90
Bi 0.0000 0.0000 0.5000 x3  2 Hg 2.90
H 0.5000 0.5000 0.5000 x1  12 Bi 4.09

Density functional theory data (PBE) for a relaxed HgBi3H crystal.

Computed properties:
energy = -28.827 eV per cell
mass density = 8.14 g/cm³
Fermi-level density of states = 0.4 states/eV/cell

a b c (Å): 4.8847 8.1293 9.2744
angles (deg): 69.87 78.22 88.44
Closest atoms and distances in Å follow each position.
Space group P-1 (No. 2)
One atom of each set of equivalent atoms:
Hg 0.0073 0.1590 0.1323 x2  1 H 2.77, 2 Bi 2.88-2.90
Bi 0.1590 0.3561 0.6020 x2  3 Bi 3.05-3.09, 1 H 3.39
Bi 0.2279 0.9348 0.3939 x2  1 Hg 2.88, 2 Bi 3.05-3.08
Bi 0.2337 0.5923 0.1119 x2  1 H 1.85
H 0.4958 0.2436 0.9046 x2  1 Bi 1.85

Density functional theory data (PBE) for a relaxed HgBiH3 crystal.

Computed properties:
energy = -10.271 eV per cell
mass density = 10.18 g/cm³
Fermi-level density of states = 2.3 states/eV/cell

a b c (Å): 4.0677 4.0677 4.0677
angles (deg): 90.00 90.00 90.00
Closest atoms and distances in Å follow each position.
Space group Pm-3m (No. 221)
One atom of each set of equivalent atoms:
Hg 0.0000 0.0000 0.0000 x1  6 H 2.03
Bi 0.5000 0.5000 0.5000 x1  12 H 2.88
H 0.0000 0.0000 0.5000 x3  2 Hg 2.03

Density functional theory data (PBE) for a relaxed HgBiH crystal.

Computed properties:
energy = -27.801 eV per cell
mass density = 8.37 g/cm³
Fermi-level density of states = 0.2 states/eV/cell

a b c (Å): 8.9555 4.6066 7.8955
angles (deg): 90.00 90.00 90.00
Closest atoms and distances in Å follow each position.
Space group Pnma (No. 62)
One atom of each set of equivalent atoms:
Hg 0.1139 0.2500 0.0182 x4  1 H 2.31
Bi 0.1171 0.2500 0.4889 x4  1 H 1.87
H 0.1236 0.2500 0.7254 x4  1 Bi 1.87

Density functional theory data (PBE) for a relaxed HgBi2H crystal.

Computed properties:
energy = -39.612 eV per cell
mass density = 9.38 g/cm³
Fermi-level density of states = 4.6 states/eV/cell

a b c (Å): 5.9302 5.9302 12.4724
angles (deg): 90.00 90.00 90.00
Closest atoms and distances in Å follow each position.
Space group I-42d (No. 122)
One atom of each set of equivalent atoms:
Hg 0.0000 0.0000 0.0000 x4  4 Bi 3.12
Bi 0.1188 0.2500 0.6250 x8  2 H 2.26
H 0.0000 0.0000 0.5000 x4  4 Bi 2.26